Record 1
First-principles (PBE-GGA) data for crystalline ZnAs2PSe at its relaxed geometry, as listed in the Alexandria database.

Unit cell a=4.797 b=4.797 c=4.836 alpha=90.00 beta=90.00 gamma=90.00
Fractional positions:
P  0.500  0.500  0.500
As  0.000  0.500  0.000
As  0.500  0.000  0.000
Zn  0.000  0.000  0.000
Se  0.000  0.000  0.500

* E above lowest polymorph: 295 meV per atom

---

Record 2
First-principles (PBE-GGA) data for crystalline ZnAs2PSe at its relaxed geometry, as listed in the Alexandria database.

Unit cell a=4.738 b=4.738 c=4.975 alpha=90.00 beta=90.00 gamma=90.00
Fractional positions:
P  0.000  0.000  0.000
As  0.000  0.500  0.000
As  0.500  0.000  0.000
Zn  0.500  0.500  0.500
Se  0.000  0.000  0.500

* E above lowest polymorph: 0 meV per atom

---

Record 3
First-principles (PBE-GGA) data for crystalline ZrAsPSe2 at its relaxed geometry, as listed in the Alexandria database.

Unit cell a=4.796 b=4.796 c=4.640 alpha=90.00 beta=90.00 gamma=90.00
Fractional positions:
P  0.000  0.000  0.000
As  0.000  0.000  0.500
Se  0.000  0.500  0.000
Se  0.500  0.000  0.000
Zr  0.500  0.500  0.500

* E above lowest polymorph: 0 meV per atom

---

Record 4
First-principles (PBE-GGA) data for crystalline ZrAs2PSe at its relaxed geometry, as listed in the Alexandria database.

Unit cell a=5.267 b=5.267 c=5.084 alpha=90.00 beta=90.00 gamma=90.00
Each line ends with the local moment (μB).
Fractional positions:
P  0.500  0.500  0.500  0.75
As  0.000  0.500  0.000  -0.17
As  0.500  0.000  0.000  -0.17
Se  0.000  0.000  0.500  -0.01
Zr  0.000  0.000  0.000  0.07

* E above lowest polymorph: 271 meV per atom

---

Which formula does entry 4 have? ZrAs2PSe

---

E above lowest polymorph of number 2 (ZnAs2PSe)? 0 meV per atom